[1]
# SrPm2YS4 | the Alexandria database | PBE | relaxed
data_SrPm2YS4
_chemical_formula_sum 'Sr1 Pm2 Y1 S4'
_symmetry_space_group_name_H-M 'P 1'
_symmetry_Int_Tables_number 1
_symmetry_space_group_name_Hall 'P 1'
_cell_length_a 4.029
_cell_length_b 7.042
_cell_length_c 7.023
_cell_angle_alpha 70.94
_cell_angle_beta 90.00
_cell_angle_gamma 90.00
loop_
_atom_site_label
_atom_site_fract_x
_atom_site_fract_y
_atom_site_fract_z
_atom_site_occupancy
Sr1 0.500 0.500 0.000 1
Pm1 0.000 0.000 0.000 1
Pm2 0.500 0.000 0.500 1
Y1 0.000 0.500 0.500 1
S1 0.000 0.752 0.740 1
S2 0.000 0.248 0.260 1
S3 0.500 0.745 0.260 1
S4 0.500 0.255 0.740 1
# VASP energy in eV/cell: -50.28

[2]
# PmTa4S8 | the Alexandria database | PBE | relaxed
data_PmTa4S8
_chemical_formula_sum 'Pm1 Ta4 S8'
_symmetry_space_group_name_H-M 'P 1'
_symmetry_Int_Tables_number 1
_symmetry_space_group_name_Hall 'P 1'
_cell_length_a 6.821
_cell_length_b 6.821
_cell_length_c 7.866
_cell_angle_alpha 90.00
_cell_angle_beta 115.70
_cell_angle_gamma 120.00
loop_
_atom_site_label
_atom_site_fract_x
_atom_site_fract_y
_atom_site_fract_z
_atom_site_occupancy
Pm1 0.000 0.500 0.500 1
Ta1 0.000 0.000 0.000 1
Ta2 0.000 0.500 0.000 1
Ta3 0.500 0.500 0.000 1
Ta4 0.500 0.000 0.000 1
S1 0.482 0.741 0.224 1
S2 0.518 0.259 0.776 1
S3 0.475 0.238 0.227 1
S4 0.010 0.248 0.773 1
S5 0.525 0.762 0.773 1
S6 0.010 0.762 0.773 1
S7 0.990 0.238 0.227 1
S8 0.990 0.752 0.227 1
# Energy relative to the lowest polymorph listed for this composition in meV/atom: 0

[3]
# PmTa4S8 | the Alexandria database | PBE | relaxed
data_PmTa4S8
_chemical_formula_sum 'Pm1 Ta4 S8'
_symmetry_space_group_name_H-M 'P 1'
_symmetry_Int_Tables_number 1
_symmetry_space_group_name_Hall 'P 1'
_cell_length_a 7.309
_cell_length_b 7.309
_cell_length_c 7.309
_cell_angle_alpha 60.00
_cell_angle_beta 60.00
_cell_angle_gamma 60.00
loop_
_atom_site_label
_atom_site_fract_x
_atom_site_fract_y
_atom_site_fract_z
_atom_site_occupancy
Pm1 0.750 0.750 0.750 1
Ta1 0.937 0.354 0.354 1
Ta2 0.354 0.937 0.354 1
Ta3 0.354 0.354 0.937 1
Ta4 0.354 0.354 0.354 1
S1 0.638 0.121 0.121 1
S2 0.121 0.638 0.121 1
S3 0.121 0.121 0.638 1
S4 0.121 0.121 0.121 1
S5 0.186 0.605 0.605 1
S6 0.605 0.186 0.605 1
S7 0.605 0.605 0.186 1
S8 0.605 0.605 0.605 1
# Energy relative to the lowest polymorph listed for this composition in meV/atom: 43

[4]
# Pm6TaS12 | the Alexandria database | PBE | relaxed
data_Pm6TaS12
_chemical_formula_sum 'Pm6 Ta1 S12'
_symmetry_space_group_name_H-M 'P 1'
_symmetry_Int_Tables_number 1
_symmetry_space_group_name_Hall 'P 1'
_cell_length_a 7.914
_cell_length_b 7.914
_cell_length_c 7.914
_cell_angle_alpha 98.55
_cell_angle_beta 98.55
_cell_angle_gamma 98.55
loop_
_atom_site_label
_atom_site_fract_x
_atom_site_fract_y
_atom_site_fract_z
_atom_site_occupancy
Pm1 0.697 0.863 0.366 1
Pm2 0.634 0.303 0.137 1
Pm3 0.137 0.634 0.303 1
Pm4 0.303 0.137 0.634 1
Pm5 0.366 0.697 0.863 1
Pm6 0.863 0.366 0.697 1
Ta1 0.000 0.000 0.000 1
S1 0.821 0.563 0.418 1
S2 0.418 0.821 0.563 1
S3 0.563 0.418 0.821 1
S4 0.179 0.437 0.582 1
S5 0.582 0.179 0.437 1
S6 0.437 0.582 0.179 1
S7 0.064 0.978 0.310 1
S8 0.022 0.690 0.936 1
S9 0.690 0.936 0.022 1
S10 0.936 0.022 0.690 1
S11 0.978 0.310 0.064 1
S12 0.310 0.064 0.978 1
# VASP energy in eV/cell: -122.92

[5]
# Pm5Ta2S12 | the Alexandria database | PBE | relaxed
data_Pm5Ta2S12
_chemical_formula_sum 'Pm5 Ta2 S12'
_symmetry_space_group_name_H-M 'P 1'
_symmetry_Int_Tables_number 1
_symmetry_space_group_name_Hall 'P 1'
_cell_length_a 7.063
_cell_length_b 8.488
_cell_length_c 8.966
_cell_angle_alpha 105.64
_cell_angle_beta 90.00
_cell_angle_gamma 114.59
loop_
_atom_site_label
_atom_site_fract_x
_atom_site_fract_y
_atom_site_fract_z
_atom_site_occupancy
Pm1 0.298 0.595 0.643 1
Pm2 0.313 0.627 0.169 1
Pm3 0.000 0.000 0.500 1
Pm4 0.687 0.373 0.831 1
Pm5 0.702 0.405 0.357 1
Ta1 0.756 0.000 0.000 1
Ta2 0.244 0.000 0.000 1
S1 0.997 0.994 0.189 1
S2 0.090 0.669 0.916 1
S3 0.579 0.669 0.916 1
S4 0.103 0.701 0.431 1
S5 0.599 0.701 0.431 1
S6 0.496 0.993 0.801 1
S7 0.504 0.007 0.199 1
S8 0.897 0.299 0.569 1
S9 0.401 0.299 0.569 1
S10 0.910 0.331 0.084 1
S11 0.421 0.331 0.084 1
S12 0.003 0.006 0.811 1
# VASP energy in eV/cell: -128.94

[6]
# Pm2TaS6 | the Alexandria database | PBE | relaxed
data_Pm2TaS6
_chemical_formula_sum 'Pm4 Ta2 S12'
_symmetry_space_group_name_H-M 'P 1'
_symmetry_Int_Tables_number 1
_symmetry_space_group_name_Hall 'P 1'
_cell_length_a 6.275
_cell_length_b 7.372
_cell_length_c 8.776
_cell_angle_alpha 90.00
_cell_angle_beta 92.66
_cell_angle_gamma 90.00
loop_
_atom_site_label
_atom_site_fract_x
_atom_site_fract_y
_atom_site_fract_z
_atom_site_occupancy
Pm1 0.963 0.385 0.751 1
Pm2 0.537 0.885 0.749 1
Pm3 0.463 0.115 0.251 1
Pm4 0.037 0.615 0.249 1
Ta1 0.500 0.500 0.000 1
Ta2 0.000 0.000 0.500 1
S1 0.882 0.974 0.234 1
S2 0.846 0.701 0.555 1
S3 0.826 0.666 0.943 1
S4 0.674 0.166 0.557 1
S5 0.654 0.201 0.945 1
S6 0.618 0.474 0.266 1
S7 0.118 0.026 0.766 1
S8 0.154 0.299 0.445 1
S9 0.174 0.334 0.057 1
S10 0.326 0.834 0.443 1
S11 0.346 0.799 0.055 1
S12 0.382 0.526 0.734 1
# VASP energy in eV/cell: -117.74